(1)
{
  "formula": "ScTcIr2",
  "functional": "GGA-PBE",
  "state": "optimized geometry",
  "lattice_angstrom": [[0.000, 3.150, 3.150], [3.150, 0.000, 3.150], [3.150, 3.150, 0.000]],
  "species": ["Sc", "Tc", "Ir", "Ir"],
  "fractional_positions": [[0.000, 0.000, 0.000], [0.250, 0.250, 0.250], [0.500, 0.500, 0.500], [0.750, 0.750, 0.750]],
  "delta_e_f_ev_per_atom": -0.13
}

=====

(2)
{
  "formula": "Sc6Te2Ir",
  "functional": "GGA-PBE",
  "state": "optimized geometry",
  "lattice_angstrom": [[7.738, 0.000, 0.000], [-3.869, 6.701, 0.000], [0.000, 0.000, 3.801]],
  "species": ["Sc", "Sc", "Sc", "Sc", "Sc", "Sc", "Te", "Te", "Ir"],
  "fractional_positions": [[0.000, 0.388, 0.000], [0.000, 0.758, 0.500], [0.242, 0.242, 0.500], [0.388, 0.000, 0.000], [0.612, 0.612, 0.000], [0.758, 0.000, 0.500], [0.333, 0.667, 0.500], [0.667, 0.333, 0.500], [0.000, 0.000, 0.000]],
  "e_tot_ev_per_atom": -6.732
}

=====

(3)
{
  "formula": "ScTeIr2",
  "functional": "GGA-PBE",
  "state": "optimized geometry",
  "lattice_angstrom": [[0.000, 3.289, 3.289], [3.289, 0.000, 3.289], [3.289, 3.289, 0.000]],
  "species": ["Sc", "Te", "Ir", "Ir"],
  "fractional_positions": [[0.000, 0.000, 0.000], [0.250, 0.250, 0.250], [0.500, 0.500, 0.500], [0.750, 0.750, 0.750]],
  "e_tot_ev_per_atom": -6.774
}

=====

(4)
{
  "formula": "Zr3Sc3Te2Ir",
  "functional": "GGA-PBE",
  "state": "optimized geometry",
  "lattice_angstrom": [[7.800, 0.000, 0.000], [-3.900, 6.755, 0.000], [0.000, 0.000, 3.685]],
  "species": ["Zr", "Zr", "Zr", "Sc", "Sc", "Sc", "Te", "Te", "Ir"],
  "fractional_positions": [[0.000, 0.402, 0.000], [0.402, 0.000, 0.000], [0.598, 0.598, 0.000], [0.000, 0.756, 0.500], [0.244, 0.244, 0.500], [0.756, 0.000, 0.500], [0.333, 0.667, 0.500], [0.667, 0.333, 0.500], [0.000, 0.000, 0.000]],
  "relative_energy_ev_per_atom": 0.0494
}

=====

(5)
{
  "formula": "Zr3Sc3Te2Ir",
  "functional": "GGA-PBE",
  "state": "optimized geometry",
  "lattice_angstrom": [[7.888, 0.000, 0.000], [-3.944, 6.831, 0.000], [0.000, 0.000, 3.686]],
  "species": ["Zr", "Zr", "Zr", "Sc", "Sc", "Sc", "Te", "Te", "Ir"],
  "fractional_positions": [[0.000, 0.751, 0.000], [0.249, 0.249, 0.000], [0.751, 0.000, 0.000], [0.000, 0.398, 0.500], [0.398, 0.000, 0.500], [0.602, 0.602, 0.500], [0.333, 0.667, 0.000], [0.667, 0.333, 0.000], [0.000, 0.000, 0.500]],
  "relative_energy_ev_per_atom": 0.0000
}

=====

(6)
{
  "formula": "ScTlIr2",
  "functional": "GGA-PBE",
  "state": "optimized geometry",
  "lattice_angstrom": [[0.000, 3.282, 3.282], [3.282, 0.000, 3.282], [3.282, 3.282, 0.000]],
  "species": ["Sc", "Tl", "Ir", "Ir"],
  "fractional_positions": [[0.000, 0.000, 0.000], [0.750, 0.750, 0.750], [0.250, 0.250, 0.250], [0.500, 0.500, 0.500]],
  "e_tot_ev_per_atom": -6.563
}

=====

(7)
{
  "formula": "Sc3TlIr2",
  "functional": "GGA-PBE",
  "state": "optimized geometry",
  "lattice_angstrom": [[3.161, 0.000, 0.000], [0.000, 3.161, 0.000], [0.000, 0.000, 11.471]],
  "species": ["Sc", "Sc", "Sc", "Tl", "Ir", "Ir"],
  "fractional_positions": [[0.000, 0.000, 0.000], [0.000, 0.000, 0.292], [0.000, 0.000, 0.708], [0.500, 0.500, 0.500], [0.500, 0.500, 0.150], [0.500, 0.500, 0.850]],
  "e_tot_ev_per_atom": -7.300
}

=====

(8)
{
  "formula": "TmScIr",
  "functional": "GGA-PBE",
  "state": "optimized geometry",
  "lattice_angstrom": [[0.000, 3.232, 3.232], [3.232, 0.000, 3.232], [3.232, 3.232, 0.000]],
  "species": ["Tm", "Sc", "Ir"],
  "fractional_positions": [[0.000, 0.000, 0.000], [0.250, 0.250, 0.250], [0.750, 0.750, 0.750]],
  "delta_e_f_ev_per_atom": 0.17,
  "relative_energy_ev_per_atom": 0.9728
}

=====

(9)
{
  "formula": "TmScIr",
  "functional": "GGA-PBE",
  "state": "optimized geometry",
  "lattice_angstrom": [[-4.395, 6.143, 3.544], [4.395, -6.143, 3.544], [4.395, 6.143, -3.544]],
  "species": ["Tm", "Tm", "Tm", "Tm", "Tm", "Tm", "Sc", "Sc", "Sc", "Sc", "Sc", "Sc", "Ir", "Ir", "Ir", "Ir", "Ir", "Ir"],
  "fractional_positions": [[0.000, 0.250, 0.250], [0.000, 0.750, 0.750], [0.413, 0.370, 0.544], [0.413, 0.869, 0.043], [0.826, 0.369, 0.957], [0.826, 0.870, 0.456], [0.159, 0.285, 0.873], [0.159, 0.786, 0.373], [0.413, 0.286, 0.127], [0.413, 0.785, 0.627], [0.667, 0.167, 0.500], [0.667, 0.667, 0.000], [0.079, 0.412, 0.666], [0.079, 0.913, 0.167], [0.413, 0.163, 0.750], [0.413, 0.663, 0.250], [0.746, 0.413, 0.334], [0.746, 0.912, 0.833]],
  "delta_e_f_ev_per_atom": -0.80,
  "relative_energy_ev_per_atom": 0.0000
}

=====

(10)
{
  "formula": "TmScIr",
  "functional": "GGA-PBE",
  "state": "optimized geometry",
  "lattice_angstrom": [[0.000, 3.199, 3.199], [3.199, 0.000, 3.199], [3.199, 3.199, 0.000]],
  "species": ["Tm", "Sc", "Ir"],
  "fractional_positions": [[0.000, 0.000, 0.000], [0.750, 0.750, 0.750], [0.500, 0.500, 0.500]],
  "delta_e_f_ev_per_atom": 0.01,
  "relative_energy_ev_per_atom": 0.8167
}

=====

Repeat the fourth record exactly.
{
  "formula": "Zr3Sc3Te2Ir",
  "functional": "GGA-PBE",
  "state": "optimized geometry",
  "lattice_angstrom": [[7.800, 0.000, 0.000], [-3.900, 6.755, 0.000], [0.000, 0.000, 3.685]],
  "species": ["Zr", "Zr", "Zr", "Sc", "Sc", "Sc", "Te", "Te", "Ir"],
  "fractional_positions": [[0.000, 0.402, 0.000], [0.402, 0.000, 0.000], [0.598, 0.598, 0.000], [0.000, 0.756, 0.500], [0.244, 0.244, 0.500], [0.756, 0.000, 0.500], [0.333, 0.667, 0.500], [0.667, 0.333, 0.500], [0.000, 0.000, 0.000]],
  "relative_energy_ev_per_atom": 0.0494
}